[1]
The following is a DFT calculation (PBE) of a relaxed structure of YScCo2.

Unit cell a=6.483 b=6.483 c=6.483 alpha=90.00 beta=90.00 gamma=90.00
Space group Fm-3m (No. 225)
Asymmetric unit:
Y: 0.000 0.000 0.000 (multiplicity 4)
Sc: 0.000 0.000 0.500 (multiplicity 4)
Co: 0.250 0.250 0.250 (multiplicity 8)

Computed properties:
- Spin magnetization: 0.285 μB/f.u.
- Formation energy: -0.20 eV per atom
- Density of states at the Fermi level: 7.22 states/eV per cell

[2]
The following is a DFT calculation (PBE) of a relaxed structure of Y2ScCo.

Unit cell a=3.534 b=5.175 c=10.314 alpha=90.00 beta=90.00 gamma=90.00
Space group Immm (No. 71)
Asymmetric unit:
Y: 0.000 0.000 0.194 (multiplicity 4)
Sc: 0.000 0.500 0.000 (multiplicity 2)
Co: 0.000 0.500 0.500 (multiplicity 2)

Computed properties:
- Spin magnetization: 0.000 μB/f.u.
- Formation energy: -0.03 eV per atom
- Density of states at the Fermi level: 8.00 states/eV per cell

> What is the formation energy in the second record?

-0.03 eV per atom

> Which value of density of states at the Fermi level does entry 2 give?

8.00 states/eV per cell